Model 1:
GGA-PBE Sc2Be2Co, optimized geometry; space group = P4/mbm, No. 127
1.0
6.1988 0.0000 0.0000
0.0000 6.1988 0.0000
0.0000 0.0000 3.7883
Be Sc Co
4 4 2
Cartesian
5.4508 3.8474 0.0000
3.8474 0.7480 0.0000
0.7480 2.3514 0.0000
2.3514 5.4508 0.0000
1.9607 1.1387 1.8941
4.2382 5.0601 1.8941
5.0601 1.9607 1.8941
1.1387 4.2382 1.8941
0.0000 0.0000 0.0000
3.0994 3.0994 0.0000

---

Model 2:
GGA-PBE Sc2Be2Co, optimized geometry; space group = I4/mmm, No. 139
1.0
3.7744 0.0000 0.0000
0.0000 3.7744 0.0000
1.8872 1.8872 5.4100
Co Be Sc
1 2 2
Cartesian
0.0000 0.0000 0.0000
3.7744 3.7744 4.4579
1.8872 1.8872 0.9522
3.7744 1.8872 2.7050
1.8872 3.7744 2.7050

---

Order of stability, best first: model 1, model 2

---

Model 1:
GGA-PBE Sc4BeCo, optimized geometry; space group = P2_1/c, No. 14
1.0
6.1306 0.0000 -0.0703
0.0000 6.2972 0.0000
-0.1593 0.0000 6.3382
Be Sc Co
2 8 2
Cartesian
3.0653 3.1486 -0.0352
0.0000 0.0000 0.0000
4.0227 4.1314 4.1296
0.9574 5.3144 4.1648
5.2383 4.1275 1.0446
0.7330 2.1697 5.2232
2.1730 5.3183 1.0798
1.9486 2.1658 2.1382
3.7983 0.9789 5.1880
5.0139 0.9828 2.1030
2.9856 0.0000 3.1339
-0.0796 3.1486 3.1691

---

Model 2:
GGA-PBE Sc4BeCo, optimized geometry; space group = F-43m, No. 216
1.0
0.8820 0.8133 5.3964
-2.5878 -3.1546 3.7299
2.8521 -3.7231 2.9266
Sc Be Co
4 1 1
Cartesian
-0.8695 -3.8546 6.3862
0.4293 -2.2713 4.5142
0.8719 -1.8631 7.2226
1.8607 -4.1399 5.9830
0.8597 -4.5483 9.0397
0.0000 0.0000 0.0000

---

Order of stability, best first: model 1, model 2

---

Model 1:
GGA-PBE ScBeCoSi2, optimized geometry; space group = P4/mmm, No. 123
1.0
4.1020 0.0000 0.0000
0.0000 4.4887 0.0000
0.0000 0.0000 4.1020
Si Co Sc Be
2 1 1 1
Cartesian
2.0510 0.0000 0.0000
0.0000 0.0000 2.0510
2.0510 2.2443 2.0510
0.0000 2.2443 0.0000
0.0000 0.0000 0.0000

---

Model 2:
GGA-PBE ScBeCoSi2, optimized geometry; space group = I-4m2, No. 119
1.0
-2.9183 1.8493 -1.2258
-1.6728 -0.5035 3.2229
4.2776 3.5769 0.6942
Co Si Sc Be
1 2 1 1
Cartesian
0.1546 1.8732 2.4578
-1.8299 1.6713 1.3962
1.5164 3.2514 1.2951
0.0000 0.0000 0.0000
-0.4681 3.0496 0.2335

---

Order of stability, best first: model 2, model 1